[1]
## AlNi2Ir (PBE)

Data for AlNi2Ir after structural relaxation.

Cell and atoms, written as POSCAR:
```
AlNi2Ir
1.0
8.191 0.000 0.000
7.742 2.676 0.000
7.742 1.300 2.339
Ni Ir Al
2 1 1
direct
0.997 0.997 0.997
0.249 0.249 0.249
0.751 0.751 0.751
0.503 0.503 0.503
```

As for the density of states at the Fermi level: 4.70 states/eV/cell. The formation energy comes out at -0.1784 eV/atom. As for the total energy: -24.88 eV/cell. Its space-group type is R3m, No. 160. The crystal system is trigonal.

[2]
## AlNi2Ir (PBE)

Data for AlNi2Ir after structural relaxation.

Cell and atoms, written as POSCAR:
```
AlNi2Ir
1.0
-4.123 1.623 7.019
-6.121 0.560 5.578
-4.446 -1.039 6.932
Ni Ir Al
2 1 1
direct
0.996 0.996 0.996
0.504 0.504 0.504
0.750 0.750 0.750
0.250 0.250 0.250
```

As for the density of states at the Fermi level: 5.46 states/eV/cell. The formation energy comes out at -0.1787 eV/atom. As for the total energy: -24.88 eV/cell. Its space-group type is R-3m, No. 166. The crystal system is trigonal.

[3]
## AlNi2Ir (PBE)

Data for AlNi2Ir after structural relaxation.

Cell and atoms, written as POSCAR:
```
AlNi2Ir
1.0
3.609 0.000 0.000
0.000 2.669 0.025
0.000 2.625 5.223
Ni Ir Al
2 1 1
direct
0.000 0.998 0.002
0.000 0.502 0.498
0.500 0.750 0.750
0.500 0.250 0.250
```

As for the density of states at the Fermi level: 4.98 states/eV/cell. The formation energy comes out at -0.3125 eV/atom. As for the total energy: -25.42 eV/cell. Its space-group type is Pmmm, No. 47. The crystal system is orthorhombic.

[4]
## AlNiIr (PBE)

Data for AlNiIr after structural relaxation.

Cell and atoms, written as POSCAR:
```
AlNiIr
1.0
2.759 0.000 0.000
-1.380 2.389 0.000
0.000 0.000 6.057
Ni Ir Al
1 1 1
direct
0.667 0.333 0.682
0.333 0.667 0.325
0.000 0.000 0.992
```

As for the density of states at the Fermi level: 2.53 states/eV/cell. The formation energy comes out at -0.3349 eV/atom. As for the total energy: -19.39 eV/cell. Its space-group type is P3m1, No. 156. The crystal system is trigonal.